(1)
Density functional theory data (PBE-GGA) for La3In2I2 after structural relaxation.

Cell: 4.582 6.250 9.950 Å, 106.55 90.01 111.52°
Sites, in units of the cell vectors:
1 In 0.323 0.645 0.070
2 In 0.677 0.355 0.930
3 La 0.000 0.000 0.000
4 La 0.793 0.586 0.288
5 La 0.207 0.414 0.712
6 I 0.900 0.800 0.645
7 I 0.100 0.200 0.355

uncorrected formation energy	-0.790	eV/atom
total DFT energy (no corrections)	-4.127	eV per atom

(2)
Density functional theory data (PBE-GGA) for CsErBe2Cl8 after structural relaxation.

Cell: 6.252 6.252 10.836 Å, 73.23 73.23 60.00°
Sites, in units of the cell vectors:
1 Cl 0.025 0.403 0.847
2 Cl 0.597 0.276 0.153
3 Cl 0.724 0.025 0.847
4 Cl 0.805 0.805 0.586
5 Cl 0.403 0.724 0.847
6 Cl 0.975 0.597 0.153
7 Cl 0.195 0.195 0.414
8 Cl 0.276 0.975 0.153
9 Er 0.000 0.000 0.000
10 Cs 0.500 0.500 0.500
11 Be 0.741 0.741 0.777
12 Be 0.259 0.259 0.223

uncorrected formation energy	-1.810	eV/atom
total DFT energy (no corrections)	-4.114	eV per atom

(3)
Density functional theory data (PBE-GGA) for La9Nd2Th after structural relaxation.

Cell: 5.224 5.224 15.699 Å, 90.00 90.00 90.00°
Sites, in units of the cell vectors:
1 Th 0.000 0.000 0.000
2 La 0.500 0.500 0.334
3 La 0.500 0.500 0.666
4 La 0.500 0.000 0.161
5 La 0.500 0.000 0.500
6 La 0.000 0.500 0.500
7 La 0.000 0.500 0.161
8 La 0.000 0.500 0.839
9 La 0.500 0.000 0.839
10 La 0.500 0.500 0.000
11 Nd 0.000 0.000 0.334
12 Nd 0.000 0.000 0.666

ΔE_f	0.015	eV/atom
total DFT energy (no corrections)	-5.093	eV per atom

(4)
Density functional theory data (PBE-GGA) for CaYTl after structural relaxation.

Cell: 6.039 6.039 6.039 Å, 145.40 133.51 59.23°
Sites, in units of the cell vectors:
1 Y 0.679 0.679 0.000
2 Tl 0.330 0.330 0.000
3 Ca 0.991 0.991 0.000

ΔE_f	-0.137	eV/atom
total DFT energy (no corrections)	-3.748	eV per atom
distance to the lowest polymorph of the same formula	211	meV per atom

(5)
Density functional theory data (PBE-GGA) for Li2CdO2 after structural relaxation.

Cell: 6.062 6.062 2.992 Å, 90.00 90.00 90.00°
Sites, in units of the cell vectors:
1 Li 0.368 0.132 0.500
2 Li 0.132 0.632 0.500
3 Li 0.632 0.868 0.500
4 Li 0.868 0.368 0.500
5 O 0.677 0.177 0.000
6 O 0.177 0.323 0.000
7 O 0.323 0.823 0.000
8 O 0.823 0.677 0.000
9 Cd 0.000 0.000 0.000
10 Cd 0.500 0.500 0.000

uncorrected formation energy	-1.169	eV/atom
total DFT energy (no corrections)	-4.101	eV per atom
distance to the lowest polymorph of the same formula	300	meV per atom

(6)
Density functional theory data (PBE-GGA) for ReRuRh2 after structural relaxation.

Cell: 4.358 4.358 4.358 Å, 60.00 60.00 60.00°
Sites, in units of the cell vectors:
1 Re 0.500 0.500 0.500
2 Ru 0.000 0.000 0.000
3 Rh 0.750 0.750 0.750
4 Rh 0.250 0.250 0.250

ΔE_f	0.465	eV/atom
total DFT energy (no corrections)	-8.641	eV per atom
distance to the lowest polymorph of the same formula	548	meV per atom